First-principles (PBE) data for an optimized crystal structure of In7Ga2Sn2, as listed in Alexandria.

abc: 5.818 5.818 8.987
angles: 90.26 90.26 108.75
Positions (direct):
1 In 0.000 0.000 0.000
2 In 0.179 0.548 0.150
3 In 0.261 0.261 0.717
4 In 0.452 0.821 0.850
5 In 0.548 0.179 0.150
6 In 0.739 0.739 0.283
7 In 0.821 0.452 0.850
8 Ga 0.162 0.162 0.389
9 Ga 0.838 0.838 0.611
10 Sn 0.289 0.711 0.500
11 Sn 0.711 0.289 0.500

Output
**Volume**: 288.1 Å³/f.u.
**Calculated total energy**: -2.972 eV per atom
**Formation energy from the elements**: 48.4 meV/atom
**Space group**: C2/m, No. 12

***

First-principles (PBE) data for an optimized crystal structure of NaCrCl3, as listed in Alexandria.

abc: 8.548 8.548 7.153
angles: 100.66 100.66 77.80
Positions (direct):
1 Na 0.068 0.932 0.750
2 Na 0.380 0.620 0.250
3 Na 0.620 0.380 0.750
4 Na 0.932 0.068 0.250
5 Cr 0.175 0.343 0.509
6 Cr 0.343 0.175 0.009
7 Cr 0.657 0.825 0.991
8 Cr 0.825 0.657 0.491
9 Cl 0.065 0.214 0.020
10 Cl 0.108 0.624 0.465
11 Cl 0.214 0.065 0.520
12 Cl 0.314 0.421 0.885
13 Cl 0.376 0.892 0.035
14 Cl 0.421 0.314 0.385
15 Cl 0.579 0.686 0.615
16 Cl 0.624 0.108 0.965
17 Cl 0.686 0.579 0.115
18 Cl 0.786 0.935 0.480
19 Cl 0.892 0.376 0.535
20 Cl 0.935 0.786 0.980

Output
**Volume**: 124.0 Å³/f.u.
**ΔE to the lowest computed polymorph**: 0 meV/atom
**Calculated total energy**: -4.554 eV per atom
**ΔE_f (raw)**: -6.29 eV/f.u.
**Space group**: C2/c, No. 15

***

First-principles (PBE) data for an optimized crystal structure of Nd6Tm5, as listed in Alexandria.

abc: 9.372 9.372 5.614
angles: 107.39 107.39 115.97
Positions (direct):
1 Nd 0.070 0.349 0.709
2 Nd 0.209 0.209 0.210
3 Nd 0.349 0.070 0.709
4 Nd 0.651 0.930 0.291
5 Nd 0.791 0.791 0.790
6 Nd 0.930 0.651 0.291
7 Tm 0.201 0.799 0.000
8 Tm 0.338 0.662 0.500
9 Tm 0.500 0.500 0.000
10 Tm 0.662 0.338 0.500
11 Tm 0.799 0.201 0.000

Output
**Volume**: 366.2 Å³/f.u.
**ΔE to the lowest computed polymorph**: 0 meV/atom
**Calculated total energy**: -4.524 eV per atom
**Formation energy from the elements**: 109.6 meV/atom
**Space group**: C2/m, No. 12

***

Please write out number 2 again, unchanged.
First-principles (PBE) data for an optimized crystal structure of NaCrCl3, as listed in Alexandria.

abc: 8.548 8.548 7.153
angles: 100.66 100.66 77.80
Positions (direct):
1 Na 0.068 0.932 0.750
2 Na 0.380 0.620 0.250
3 Na 0.620 0.380 0.750
4 Na 0.932 0.068 0.250
5 Cr 0.175 0.343 0.509
6 Cr 0.343 0.175 0.009
7 Cr 0.657 0.825 0.991
8 Cr 0.825 0.657 0.491
9 Cl 0.065 0.214 0.020
10 Cl 0.108 0.624 0.465
11 Cl 0.214 0.065 0.520
12 Cl 0.314 0.421 0.885
13 Cl 0.376 0.892 0.035
14 Cl 0.421 0.314 0.385
15 Cl 0.579 0.686 0.615
16 Cl 0.624 0.108 0.965
17 Cl 0.686 0.579 0.115
18 Cl 0.786 0.935 0.480
19 Cl 0.892 0.376 0.535
20 Cl 0.935 0.786 0.980

Output
**Volume**: 124.0 Å³/f.u.
**ΔE to the lowest computed polymorph**: 0 meV/atom
**Calculated total energy**: -4.554 eV per atom
**ΔE_f (raw)**: -6.29 eV/f.u.
**Space group**: C2/c, No. 15

***

Q: Which of these has the lowest calculated total energy?
A: NaCrCl3